Record 1
The following is a GGA-PBE calculation of a relaxed CoTcBr crystal, from Alexandria via LeMat-Bulk.

a b c (Å): 2.989 2.989 6.011
angles (deg): 90.00 90.00 120.00
Sites, in units of the cell vectors:
Co: 0.000 0.000 0.000
Tc: 0.667 0.333 0.303
Br: 0.333 0.667 0.651

Computed properties:
As for the space group: P3m1 (156). The density of states at the Fermi level comes out at 3.44 states/eV/f.u. The electronic total energy is -5.73 eV/atom. The value obtained for the energy above the most stable polymorph in this dataset is 0.00 kJ per mole of atoms. The formation energy (no corrections) is 0.655 eV/atom.

---

Record 2
The following is a GGA-PBE calculation of a relaxed Sm2GdGe crystal, from Alexandria via LeMat-Bulk.

a b c (Å): 10.074 10.074 10.074
angles (deg): 22.04 22.04 22.04
Sites, in units of the cell vectors:
Sm: 0.232 0.232 0.232
Sm: 0.768 0.768 0.768
Gd: 0.000 0.000 0.000
Ge: 0.500 0.500 0.500

Computed properties:
As for the space group: R-3m (166). For the formation energy from the elements, the calculation gives -213 meV/atom. The density of states at the Fermi level comes out at 6.68 states/eV/f.u. The electronic total energy is -7.25 eV/atom. The value obtained for the energy above the most stable polymorph in this dataset is 13.35 kJ per mole of atoms.

---

Repeat the first record exactly.
The following is a GGA-PBE calculation of a relaxed CoTcBr crystal, from Alexandria via LeMat-Bulk.

a b c (Å): 2.989 2.989 6.011
angles (deg): 90.00 90.00 120.00
Sites, in units of the cell vectors:
Co: 0.000 0.000 0.000
Tc: 0.667 0.333 0.303
Br: 0.333 0.667 0.651

Computed properties:
As for the space group: P3m1 (156). The density of states at the Fermi level comes out at 3.44 states/eV/f.u. The electronic total energy is -5.73 eV/atom. The value obtained for the energy above the most stable polymorph in this dataset is 0.00 kJ per mole of atoms. The formation energy (no corrections) is 0.655 eV/atom.

---

Please write out number 1 again, unchanged.
The following is a GGA-PBE calculation of a relaxed CoTcBr crystal, from Alexandria via LeMat-Bulk.

a b c (Å): 2.989 2.989 6.011
angles (deg): 90.00 90.00 120.00
Sites, in units of the cell vectors:
Co: 0.000 0.000 0.000
Tc: 0.667 0.333 0.303
Br: 0.333 0.667 0.651

Computed properties:
As for the space group: P3m1 (156). The density of states at the Fermi level comes out at 3.44 states/eV/f.u. The electronic total energy is -5.73 eV/atom. The value obtained for the energy above the most stable polymorph in this dataset is 0.00 kJ per mole of atoms. The formation energy (no corrections) is 0.655 eV/atom.

---

- Which of these has the highest electronic total energy?
  CoTcBr

---

- Which formula does entry 1 have?
  CoTcBr